w.
Below is an optimized crystal structure of Pr2NdTm2, with properties calculated at the PBE level.

It has space group C2/m (No. 12), with a = 6.2583 Å, b = 3.6105 Å, c = 14.7935 Å, α = 90.00°, β = 90.05° and γ = 90.00°. The distinct sites, in fractional coordinates, are Pr at (0.1677, 0.0000, 0.3923), Nd at (0.0000, 0.5000, 0.0000) and Tm at (0.1660, 0.0000, 0.8037).

For the density of states at the Fermi level, the calculation gives 13.2 states/eV per cell.

x.
Below is an optimized crystal structure of Pr2NdTm2, with properties calculated at the PBE level.

It has space group C2/c (No. 15), with a = 9.4950 Å, b = 13.5210 Å, c = 6.0883 Å, α = 90.00°, β = 114.14° and γ = 90.00°. The distinct sites, in fractional coordinates, are Pr at (0.1844, 0.0772, 0.3785), Nd at (0.0000, 0.4316, 0.7500), Tm at (0.0000, 0.1678, 0.7500) and Tm at (0.0000, 0.3005, 0.2500).

For the density of states at the Fermi level, the calculation gives 26.9 states/eV per cell.

Which one sits at the bottom of the stability order? x does.

w.
Below is an optimized crystal structure of Pr3Nd7Tm, with properties calculated at the PBE level.

It has space group P3m1 (No. 156), with a = 7.2638 Å, b = 7.2638 Å, c = 8.8649 Å, α = 90.00°, β = 90.00° and γ = 120.00°. The distinct sites, in fractional coordinates, are Pr at (0.0011, 0.5005, 0.0000), Nd at (0.1672, 0.3343, 0.6643), Nd at (0.3337, 0.1668, 0.3311), Nd at (0.6667, 0.3333, 0.6585) and Tm at (0.3333, 0.6667, 0.3387).

For the density of states at the Fermi level, the calculation gives 16.4 states/eV per cell.

x.
Below is an optimized crystal structure of Pr3Nd7Tm, with properties calculated at the PBE level.

It has space group C2/m (No. 12), with a = 11.8526 Å, b = 10.3428 Å, c = 6.5582 Å, α = 90.00°, β = 94.36° and γ = 90.00°. The distinct sites, in fractional coordinates, are Pr at (0.0000, 0.0000, 0.0000), Pr at (0.0000, 0.1721, 0.5000), Nd at (0.0000, 0.5000, 0.5000), Nd at (0.2413, 0.0000, 0.7158), Nd at (0.2415, 0.3285, 0.7618) and Tm at (0.0000, 0.5000, 0.0000).

For the density of states at the Fermi level, the calculation gives 31.1 states/eV per cell.

Which one sits at the bottom of the stability order? x does.

w.
Below is an optimized crystal structure of Pr3Nd2Tm8, with properties calculated at the PBE level.

It has space group Cmmm (No. 65), with a = 7.6878 Å, b = 20.4738 Å, c = 5.5927 Å, α = 90.00°, β = 90.00° and γ = 90.00°. The distinct sites, in fractional coordinates, are Pr at (0.0000, 0.0000, 0.0000), Pr at (0.2057, 0.5000, 0.5000), Nd at (0.0000, 0.2407, 0.0000), Tm at (0.0000, 0.1319, 0.5000), Tm at (0.0000, 0.3347, 0.5000) and Tm at (0.2101, 0.3908, 0.0000).

For the density of states at the Fermi level, the calculation gives 47.0 states/eV per cell.

x.
Below is an optimized crystal structure of Pr3Nd2Tm8, with properties calculated at the PBE level.

It has space group P-1 (No. 2), with a = 6.1784 Å, b = 6.2004 Å, c = 11.2629 Å, α = 89.76°, β = 79.27° and γ = 80.31°. The distinct sites, in fractional coordinates, are Pr at (0.0000, 0.0000, 0.0000), Pr at (0.2307, 0.4621, 0.0790), Nd at (0.3843, 0.7692, 0.4617), Tm at (0.0765, 0.1529, 0.6907), Tm at (0.1529, 0.3073, 0.3853), Tm at (0.3078, 0.6143, 0.7664) and Tm at (0.4637, 0.9250, 0.1566).

For the density of states at the Fermi level, the calculation gives 17.9 states/eV per cell.

Which one sits at the bottom of the stability order? w does.

w.
Below is an optimized crystal structure of Pr4NdTm3, with properties calculated at the PBE level.

It has space group Pmn2_1 (No. 31), with a = 11.6661 Å, b = 7.3565 Å, c = 6.3334 Å, α = 90.00°, β = 90.00° and γ = 90.00°. The distinct sites, in fractional coordinates, are Pr at (0.0000, 0.1307, 0.0000), Pr at (0.0000, 0.8681, 0.5173), Pr at (0.2436, 0.1263, 0.3455), Nd at (0.0000, 0.6248, 0.0122), Tm at (0.0000, 0.3814, 0.5092) and Tm at (0.2499, 0.3810, 0.8432).

For the density of states at the Fermi level, the calculation gives 27.9 states/eV per cell.

x.
Below is an optimized crystal structure of Pr4NdTm3, with properties calculated at the PBE level.

It has space group Pmna (No. 53), with a = 10.2750 Å, b = 7.2378 Å, c = 7.2323 Å, α = 90.00°, β = 90.00° and γ = 90.00°. The distinct sites, in fractional coordinates, are Pr at (0.0000, 0.0000, 0.0000), Pr at (0.0000, 0.5000, 0.5000), Pr at (0.2500, 0.2479, 0.2500), Nd at (0.0000, 0.5000, 0.0000), Tm at (0.0000, 0.0000, 0.5000) and Tm at (0.2500, 0.2468, 0.7500).

For the density of states at the Fermi level, the calculation gives 22.1 states/eV per cell.

Which one sits at the bottom of the stability order? w does.

w.
Below is an optimized crystal structure of Pr5Nd2Tm12, with properties calculated at the PBE level.

It has space group P-1 (No. 2), with a = 6.4712 Å, b = 8.8124 Å, c = 11.8619 Å, α = 73.63°, β = 74.62° and γ = 75.94°. The distinct sites, in fractional coordinates, are Pr at (0.0000, 0.0000, 0.0000), Pr at (0.2251, 0.3422, 0.0169), Pr at (0.3570, 0.8598, 0.4658), Nd at (0.2698, 0.4681, 0.4416), Tm at (0.0739, 0.1174, 0.6667), Tm at (0.0864, 0.2377, 0.3246), Tm at (0.2566, 0.6297, 0.1463), Tm at (0.2827, 0.3957, 0.7282), Tm at (0.3620, 0.7266, 0.8054) and Tm at (0.4359, 0.9633, 0.1551).

For the density of states at the Fermi level, the calculation gives 28.4 states/eV per cell.

x.
Below is an optimized crystal structure of Pr5Nd2Tm12, with properties calculated at the PBE level.

It has space group C2/m (No. 12), with a = 18.3289 Å, b = 7.0836 Å, c = 10.3102 Å, α = 90.00°, β = 111.19° and γ = 90.00°. The distinct sites, in fractional coordinates, are Pr at (0.0000, 0.0000, 0.0000), Pr at (0.1826, 0.5000, 0.7129), Pr at (0.1896, 0.0000, 0.6859), Nd at (0.0000, 0.2801, 0.5000), Tm at (0.0041, 0.5000, 0.1724), Tm at (0.0241, 0.0000, 0.7434), Tm at (0.1580, 0.2470, 0.3673) and Tm at (0.1615, 0.2530, 0.0184).

For the density of states at the Fermi level, the calculation gives 51.1 states/eV per cell.

Which one sits at the bottom of the stability order? x does.

w.
Below is an optimized crystal structure of Pr3NdTm4, with properties calculated at the PBE level.

It has space group Pmn2_1 (No. 31), with a = 11.5382 Å, b = 7.3292 Å, c = 6.2851 Å, α = 90.00°, β = 90.00° and γ = 90.00°. The distinct sites, in fractional coordinates, are Pr at (0.0000, 0.1295, 0.0000), Pr at (0.2494, 0.1295, 0.3406), Nd at (0.0000, 0.8696, 0.5015), Tm at (0.0000, 0.3820, 0.5038), Tm at (0.0000, 0.6191, 0.0048) and Tm at (0.2502, 0.3816, 0.8371).

For the density of states at the Fermi level, the calculation gives 29.5 states/eV per cell.

x.
Below is an optimized crystal structure of Pr3NdTm4, with properties calculated at the PBE level.

It has space group Pmna (No. 53), with a = 10.2048 Å, b = 7.1855 Å, c = 7.1847 Å, α = 90.00°, β = 90.00° and γ = 90.00°. The distinct sites, in fractional coordinates, are Pr at (0.0000, 0.0000, 0.0000), Pr at (0.2500, 0.2507, 0.2500), Nd at (0.0000, 0.5000, 0.5000), Tm at (0.0000, 0.0000, 0.5000), Tm at (0.0000, 0.5000, 0.0000) and Tm at (0.2500, 0.2501, 0.7500).

For the density of states at the Fermi level, the calculation gives 23.8 states/eV per cell.

Which one sits at the bottom of the stability order? w does.